Entry from Alexandria via LeMat-Bulk: crystalline LiHfRe2Sn at its relaxed geometry (GGA-PBE).

Cell and atoms, written as POSCAR:
```
LiHfRe2Sn
1.0
4.922 0.000 0.000
0.000 4.922 0.000
0.000 0.000 5.224
Li Hf Re Sn
1 1 2 1
direct
0.000 0.000 0.000
0.500 0.500 0.000
0.000 0.500 0.500
0.500 0.000 0.500
0.500 0.500 0.500
```

## Properties
Its symmetry is No. 123. The energy of formation is 2.084 eV per atom. Its total moment is 1.838 μB per cell.